Entry from the Alexandria database: LiCrO2 after structural relaxation (GGA-PBEsol).

Values from the calculation:
The calculation puts the total energy at -0.520 Ry/atom. For the uncorrected formation energy, the calculation gives -1.4049 eV per atom. For the excess energy over the best structure of this formula in the dataset, the calculation gives 61.3 kJ per mole of atoms. For the density of states at the Fermi level, the calculation gives 0.29 states/eV per atom. For the total moment, the calculation gives 3.00 μB per formula unit.

Structure (POSCAR):
```
LiCrO2
1.0
3.5389 0.0000 0.0000
1.7694 3.0647 0.0000
1.7694 1.0216 2.8895
Cr O Li
1 2 1
direct
0.5000 0.5000 0.5000
0.2500 0.2500 0.2500
0.7500 0.7500 0.7500
0.0000 0.0000 0.0000
```

---

Entry from the Alexandria database: AgMoP3 after structural relaxation (GGA-PBEsol).

Values from the calculation:
The calculation puts the total energy at -0.432 Ry/atom. Its formation energy is 59 kJ/mol of atoms. For the density of states at the Fermi level, the calculation gives 0.56 states/eV per atom. For the total moment, the calculation gives 0.00 μB per formula unit.

Structure (POSCAR):
```
AgMoP3
1.0
-4.2335 -1.5780 1.0326
1.2414 -4.2422 -1.3935
1.4197 -0.9964 4.2978
P Mo Ag
3 1 1
direct
0.0000 0.5000 0.0000
0.0000 0.0000 0.5000
0.5000 0.0000 0.0000
0.0000 0.0000 0.0000
0.5000 0.5000 0.5000
```

---

Entry from the Alexandria database: BeTlSn2 after structural relaxation (GGA-PBEsol).

Values from the calculation:
The calculation puts the total energy at -0.241 Ry/atom. Its formation energy is 49 kJ/mol of atoms. For the density of states at the Fermi level, the calculation gives 0.57 states/eV per atom. For the total moment, the calculation gives 0.00 μB per formula unit.

Structure (POSCAR):
```
BeTlSn2
1.0
5.0777 0.0000 0.0000
2.5389 4.3974 0.0000
2.5389 1.4658 4.1459
Be Tl Sn
1 1 2
direct
0.0000 0.0000 0.0000
0.5000 0.5000 0.5000
0.2500 0.2500 0.2500
0.7500 0.7500 0.7500
```

---

Entry from the Alexandria database: LaTl2Cr after structural relaxation (GGA-PBEsol).

Values from the calculation:
The calculation puts the total energy at -0.373 Ry/atom. Its formation energy is 13 kJ/mol of atoms. For the density of states at the Fermi level, the calculation gives 0.65 states/eV per atom. For the total moment, the calculation gives 4.12 μB per formula unit.

Structure (POSCAR):
```
LaTl2Cr
1.0
4.7146 0.0000 0.0000
0.0000 4.6175 0.0392
0.0000 -0.0393 4.6175
Cr La Tl
1 1 2
direct
0.5000 0.0000 0.0000
0.5000 0.5000 0.5000
0.0000 0.5000 0.0000
0.0000 0.0000 0.5000
```

---

Entry from the Alexandria database: MgZnCdGe2 after structural relaxation (GGA-PBEsol).

Values from the calculation:
The calculation puts the total energy at -0.153 Ry/atom. Its formation energy is 77 kJ/mol of atoms. For the density of states at the Fermi level, the calculation gives 0.65 states/eV per atom. For the total moment, the calculation gives 0.00 μB per formula unit.

Structure (POSCAR):
```
MgZnCdGe2
1.0
5.1255 0.0000 0.0000
0.0000 5.0800 0.0000
0.0000 0.0000 5.0800
Mg Ge Zn Cd
1 2 1 1
direct
0.5000 0.0000 0.0000
0.0000 0.0000 0.5000
0.0000 0.5000 0.0000
0.5000 0.5000 0.5000
0.0000 0.0000 0.0000
```

---

Entry from the Alexandria database: Zr2CdAg after structural relaxation (GGA-PBEsol).

Values from the calculation:
The calculation puts the total energy at -0.424 Ry/atom. Its formation energy is -9 kJ/mol of atoms. For the density of states at the Fermi level, the calculation gives 0.87 states/eV per atom. For the total moment, the calculation gives 0.00 μB per formula unit.

Structure (POSCAR):
```
Zr2CdAg
1.0
3.0053 0.0000 0.0000
0.0000 5.2967 -0.0006
0.0000 -1.9504 4.9245
Zr Ag Cd
2 1 1
direct
0.0000 0.0000 0.5000
0.0000 0.5000 0.0000
0.5000 0.5000 0.5000
0.5000 0.0000 0.0000
```